Density functional theory data (GGA-PBE) for a relaxed Ba2LaHgIr crystal.

abc: 6.2374 6.2374 5.4176
angles: 90.00 90.00 90.00
Last column: nearest neighbours and their distance in Å.
Element x y z (fractional)
Ba  0.0000  0.5000  0.0000  2 Ir 3.12
Ba  0.5000  0.0000  0.0000  2 Ir 3.12
Ir  0.0000  0.0000  0.0000  2 La 2.71
Hg  0.5000  0.5000  0.5000  8 Ba 4.13, 4 La 4.41
La  0.0000  0.0000  0.5000  2 Ir 2.71

crystal system: tetragonal
E_form: -268.6 meV per atom
M_tot: 0.00 μB/f.u.
space group: No. 123